Entry 1:
Below is a relaxed AgPd2Pb crystal, with properties calculated at the PBE-GGA level. Values from VASP.

The structure in Quantum ESPRESSO input format:
```
&SYSTEM
  ibrav = 0, nat = 4, ntyp = 3
/
ATOMIC_SPECIES
Pd 106.42 Pd.upf
Pb 207.20 Pb.upf
Ag 107.87 Ag.upf
CELL_PARAMETERS angstrom
-3.524 -1.565 1.042
1.790 -1.715 3.479
-0.916 3.536 2.215
ATOMIC_POSITIONS crystal
Pd 0.000 0.000 0.500
Pd 0.000 0.500 0.000
Pb 0.500 0.500 0.500
Ag 0.500 0.000 0.000
```

## Properties
energy of formation from the pure elements: -0.14 eV per atom

---

Entry 2:
Below is a relaxed PmAgPdPb crystal, with properties calculated at the PBE-GGA level. Values from VASP.

The structure in Quantum ESPRESSO input format:
```
&SYSTEM
  ibrav = 0, nat = 4, ntyp = 4
/
ATOMIC_SPECIES
Pb 207.20 Pb.upf
Pd 106.42 Pd.upf
Ag 107.87 Ag.upf
Pm 145.00 Pm.upf
CELL_PARAMETERS angstrom
5.020 0.000 0.000
2.510 4.347 0.000
2.510 1.449 4.099
ATOMIC_POSITIONS crystal
Pb 0.500 0.500 0.500
Pd 0.750 0.750 0.750
Ag 0.250 0.250 0.250
Pm 0.000 0.000 0.000
```

## Properties
energy of formation from the pure elements: -0.47 eV per atom

---

Entry 3:
Below is a relaxed Re2AgPdPb crystal, with properties calculated at the PBE-GGA level. Values from VASP.

The structure in Quantum ESPRESSO input format:
```
&SYSTEM
  ibrav = 0, nat = 5, ntyp = 4
/
ATOMIC_SPECIES
Ag 107.87 Ag.upf
Re 186.21 Re.upf
Pd 106.42 Pd.upf
Pb 207.20 Pb.upf
CELL_PARAMETERS angstrom
-2.141 4.356 0.768
-0.852 0.433 -4.830
-4.340 -2.233 0.566
ATOMIC_POSITIONS crystal
Ag 0.000 0.000 0.000
Re 0.500 0.000 0.000
Re 0.000 0.000 0.500
Pd 0.000 0.500 0.000
Pb 0.500 0.500 0.500
```

## Properties
energy of formation from the pure elements: 2.20 eV per atom

---

Entry 4:
Below is a relaxed Ag2PdRhPb crystal, with properties calculated at the PBE-GGA level. Values from VASP.

The structure in Quantum ESPRESSO input format:
```
&SYSTEM
  ibrav = 0, nat = 5, ntyp = 4
/
ATOMIC_SPECIES
Ag 107.87 Ag.upf
Rh 102.91 Rh.upf
Pd 106.42 Pd.upf
Pb 207.20 Pb.upf
CELL_PARAMETERS angstrom
-0.606 -4.494 -2.490
2.937 -2.267 3.378
-4.151 -1.050 2.904
ATOMIC_POSITIONS crystal
Ag 0.000 0.000 0.500
Ag 0.500 0.000 0.000
Rh 0.500 0.500 0.500
Pd 0.000 0.500 0.000
Pb 0.000 0.000 0.000
```

## Properties
energy of formation from the pure elements: 1.26 eV per atom

---

Entry 5:
Below is a relaxed AgPd7Pb2S2 crystal, with properties calculated at the PBE-GGA level. Values from VASP.

The structure in Quantum ESPRESSO input format:
```
&SYSTEM
  ibrav = 0, nat = 12, ntyp = 4
/
ATOMIC_SPECIES
Pb 207.20 Pb.upf
S 32.06 S.upf
Pd 106.42 Pd.upf
Ag 107.87 Ag.upf
CELL_PARAMETERS angstrom
4.059 -0.006 -0.110
-0.001 4.059 -0.110
1.691 1.689 13.635
ATOMIC_POSITIONS crystal
Pb 0.106 0.106 0.607
S 0.426 0.426 0.237
Pd 0.403 0.403 0.413
Pd 0.597 0.597 0.587
Pd 0.549 0.047 0.853
Pd 0.047 0.549 0.853
S 0.574 0.574 0.763
Pb 0.894 0.894 0.393
Ag 0.000 0.000 0.000
Pd 0.953 0.451 0.147
Pd 0.500 0.500 0.000
Pd 0.451 0.953 0.147
```

## Properties
energy relative to the elements, uncorrected: -3.597 kcal/mol of atoms

---

Entry 6:
Below is a relaxed ScAgPdPb crystal, with properties calculated at the PBE-GGA level. Values from VASP.

The structure in Quantum ESPRESSO input format:
```
&SYSTEM
  ibrav = 0, nat = 4, ntyp = 4
/
ATOMIC_SPECIES
Pd 106.42 Pd.upf
Ag 107.87 Ag.upf
Pb 207.20 Pb.upf
Sc 44.96 Sc.upf
CELL_PARAMETERS angstrom
4.815 0.000 0.000
2.408 4.170 0.000
2.408 1.390 3.932
ATOMIC_POSITIONS crystal
Pd 0.750 0.750 0.750
Ag 0.250 0.250 0.250
Pb 0.000 0.000 0.000
Sc 0.500 0.500 0.500
```

## Properties
energy of formation from the pure elements: -0.40 eV per atom

---

Entry 7:
Below is a relaxed SrAgPd3Pb crystal, with properties calculated at the PBE-GGA level. Values from VASP.

The structure in Quantum ESPRESSO input format:
```
&SYSTEM
  ibrav = 0, nat = 12, ntyp = 4
/
ATOMIC_SPECIES
Pd 106.42 Pd.upf
Pb 207.20 Pb.upf
Sr 87.62 Sr.upf
Ag 107.87 Ag.upf
CELL_PARAMETERS angstrom
7.033 0.000 0.000
0.000 6.117 0.000
0.000 -3.059 6.304
ATOMIC_POSITIONS crystal
Pd 0.750 0.863 0.725
Pd 0.000 0.266 0.000
Pd 0.000 0.734 0.000
Pd 0.500 0.266 0.000
Pd 0.250 0.137 0.275
Pb 0.750 0.639 0.278
Sr 0.250 0.669 0.339
Pb 0.250 0.361 0.722
Ag 0.750 0.097 0.193
Ag 0.250 0.903 0.807
Pd 0.500 0.734 0.000
Sr 0.750 0.331 0.661
```

## Properties
energy of formation from the pure elements: -0.24 eV per atom

---

Entry 8:
Below is a relaxed Sr2AgPd3Pb4 crystal, with properties calculated at the PBE-GGA level. Values from VASP.

The structure in Quantum ESPRESSO input format:
```
&SYSTEM
  ibrav = 0, nat = 10, ntyp = 4
/
ATOMIC_SPECIES
Pb 207.20 Pb.upf
Sr 87.62 Sr.upf
Pd 106.42 Pd.upf
Ag 107.87 Ag.upf
CELL_PARAMETERS angstrom
-0.886 1.501 4.486
2.035 -3.999 1.740
10.042 5.214 0.239
ATOMIC_POSITIONS crystal
Pb 0.000 0.000 0.000
Sr 0.000 0.500 0.744
Pb 0.000 0.500 0.371
Pd 0.500 0.000 0.869
Pd 0.000 0.000 0.500
Ag 0.500 0.500 0.500
Pd 0.000 0.500 0.131
Pb 0.500 0.500 0.000
Sr 0.500 0.000 0.256
Pb 0.500 0.000 0.629
```

## Properties
energy of formation from the pure elements: -0.40 eV per atom

---

Entry 9:
Below is a relaxed TaAgPdPb2 crystal, with properties calculated at the PBE-GGA level. Values from VASP.

The structure in Quantum ESPRESSO input format:
```
&SYSTEM
  ibrav = 0, nat = 5, ntyp = 4
/
ATOMIC_SPECIES
Ta 180.95 Ta.upf
Pb 207.20 Pb.upf
Ag 107.87 Ag.upf
Pd 106.42 Pd.upf
CELL_PARAMETERS angstrom
5.265 0.000 0.000
0.000 4.993 0.000
0.000 0.000 5.265
ATOMIC_POSITIONS crystal
Ta 0.000 0.500 0.000
Pb 0.000 0.000 0.500
Pb 0.500 0.000 0.000
Ag 0.500 0.500 0.500
Pd 0.000 0.000 0.000
```

## Properties
energy of formation from the pure elements: 0.98 eV per atom

---

Entry 10:
Below is a relaxed ThAgPdPb crystal, with properties calculated at the PBE-GGA level. Values from VASP.

The structure in Quantum ESPRESSO input format:
```
&SYSTEM
  ibrav = 0, nat = 4, ntyp = 4
/
ATOMIC_SPECIES
Pd 106.42 Pd.upf
Th 232.04 Th.upf
Pb 207.20 Pb.upf
Ag 107.87 Ag.upf
CELL_PARAMETERS angstrom
-2.526 2.450 3.655
-1.798 -2.559 3.995
2.116 0.618 4.570
ATOMIC_POSITIONS crystal
Pd 0.750 0.750 0.750
Th 0.500 0.500 0.500
Pb 0.000 0.000 0.000
Ag 0.250 0.250 0.250
```

## Properties
energy of formation from the pure elements: -0.39 eV per atom

---

Entry 11:
Below is a relaxed TmAgPdPb crystal, with properties calculated at the PBE-GGA level. Values from VASP.

The structure in Quantum ESPRESSO input format:
```
&SYSTEM
  ibrav = 0, nat = 4, ntyp = 4
/
ATOMIC_SPECIES
Pd 106.42 Pd.upf
Tm 168.93 Tm.upf
Pb 207.20 Pb.upf
Ag 107.87 Ag.upf
CELL_PARAMETERS angstrom
-1.556 3.886 -2.589
-4.677 0.236 -1.514
-3.088 3.242 2.044
ATOMIC_POSITIONS crystal
Pd 0.750 0.750 0.750
Tm 0.000 0.000 0.000
Pb 0.500 0.500 0.500
Ag 0.250 0.250 0.250
```

## Properties
energy of formation from the pure elements: -0.46 eV per atom

---

Entry 12:
Below is a relaxed YAgPdPb crystal, with properties calculated at the PBE-GGA level. Values from VASP.

The structure in Quantum ESPRESSO input format:
```
&SYSTEM
  ibrav = 0, nat = 4, ntyp = 4
/
ATOMIC_SPECIES
Pd 106.42 Pd.upf
Ag 107.87 Ag.upf
Y 88.91 Y.upf
Pb 207.20 Pb.upf
CELL_PARAMETERS angstrom
4.959 0.000 0.000
2.479 4.294 0.000
2.479 1.431 4.049
ATOMIC_POSITIONS crystal
Pd 0.500 0.500 0.500
Ag 0.000 0.000 0.000
Y 0.750 0.750 0.750
Pb 0.250 0.250 0.250
```

## Properties
energy of formation from the pure elements: -0.48 eV per atom